No. 1
DFT (PBE-GGA) results for a relaxed structure of HgSBrN2.

a b c (Å): 3.8177 3.8177 7.7078
angles (deg): 90.00 90.00 90.00
Fractional coordinates of all 5 atoms:
Hg  0.0000  0.0000  0.0000
S  0.5000  0.5000  0.0000
Br  0.5000  0.5000  0.5000
N  0.0000  0.5000  0.5000
N  0.5000  0.0000  0.5000

Its distance to the lowest polymorph of the same formula is 0 meV per atom. The raw formation energy comes out at 1.964 eV per atom. The total magnetization comes out at 0.83 Bohr magnetons per cell. As for the crystal system: tetragonal. For the total energy, the calculation gives -12.93 eV for the cell shown.

---

No. 2
DFT (PBE-GGA) results for a relaxed structure of Sr3InAu2.

a b c (Å): 3.8495 3.8495 12.2269
angles (deg): 90.00 90.00 90.00
Fractional coordinates of all 6 atoms:
Sr  0.0000  0.0000  0.0000
Sr  0.0000  0.0000  0.3142
Sr  0.0000  0.0000  0.6858
In  0.5000  0.5000  0.5000
Au  0.5000  0.5000  0.1591
Au  0.5000  0.5000  0.8409

The total magnetization comes out at 0.00 Bohr magnetons per cell. As for the crystal system: tetragonal. For the total energy, the calculation gives -18.06 eV for the cell shown.

---

No. 3
DFT (PBE-GGA) results for a relaxed structure of KRhBr2.

a b c (Å): 4.8392 4.8423 5.4600
angles (deg): 90.00 103.96 90.00
Fractional coordinates of all 4 atoms:
K  0.0000  0.0000  0.0000
Rh  0.6480  0.5000  0.5212
Br  0.1853  0.5000  0.6528
Br  0.6104  0.0000  0.4012

Its distance to the lowest polymorph of the same formula is 24 meV per atom. The raw formation energy comes out at -0.592 eV per atom. The total magnetization comes out at 0.00 Bohr magnetons per cell. As for the crystal system: monoclinic. For the total energy, the calculation gives -14.16 eV for the cell shown.

---

No. 4
DFT (PBE-GGA) results for a relaxed structure of LiPa2Mn.

a b c (Å): 8.7009 8.7009 8.7009
angles (deg): 23.90 23.90 23.90
Fractional coordinates of all 4 atoms:
Li  0.0000  0.0000  0.0000
Pa  0.2265  0.2265  0.2265
Pa  0.7735  0.7735  0.7735
Mn  0.5000  0.5000  0.5000

The total magnetization comes out at 0.00 Bohr magnetons per cell. As for the crystal system: trigonal. For the total energy, the calculation gives -28.86 eV for the cell shown.

---

No. 5
DFT (PBE-GGA) results for a relaxed structure of KLi2Co.

a b c (Å): 3.4039 3.4039 8.2120
angles (deg): 90.00 90.00 90.00
Fractional coordinates of all 4 atoms:
K  0.0000  0.0000  0.0000
Li  0.0000  0.0000  0.5906
Li  0.5000  0.5000  0.3893
Co  0.5000  0.5000  0.7005

Its distance to the lowest polymorph of the same formula is 33 meV per atom. The total magnetization comes out at 1.55 Bohr magnetons per cell. As for the crystal system: tetragonal. For the total energy, the calculation gives -9.80 eV for the cell shown.

---

No. 6
DFT (PBE-GGA) results for a relaxed structure of NiBAs.

a b c (Å): 9.6762 9.6762 2.8932
angles (deg): 90.00 90.00 163.44
Fractional coordinates of all 6 atoms:
Ni  0.0619  0.9381  0.7500
Ni  0.9381  0.0619  0.2500
B  0.4752  0.5248  0.7500
B  0.5248  0.4752  0.2500
As  0.1663  0.8337  0.2500
As  0.8337  0.1663  0.7500

The total magnetization comes out at 0.00 Bohr magnetons per cell. As for the crystal system: orthorhombic. For the total energy, the calculation gives -34.00 eV for the cell shown.

---

No. 7
DFT (PBE-GGA) results for a relaxed structure of HfCo2HRu.

a b c (Å): 3.8004 3.8004 3.8876
angles (deg): 90.00 90.00 90.00
Fractional coordinates of all 5 atoms:
Hf  0.0000  0.0000  0.0000
Co  0.0000  0.5000  0.5000
Co  0.5000  0.0000  0.5000
H  0.5000  0.5000  0.5000
Ru  0.5000  0.5000  0.0000

Its distance to the lowest polymorph of the same formula is 0 meV per atom. The total magnetization comes out at 0.00 Bohr magnetons per cell. As for the crystal system: tetragonal. For the total energy, the calculation gives -38.10 eV for the cell shown.

---

No. 8
DFT (PBE-GGA) results for a relaxed structure of K4RbAu2.

a b c (Å): 12.1067 12.1067 12.1067
angles (deg): 27.82 27.82 27.82
Fractional coordinates of all 7 atoms:
K  0.0919  0.0919  0.0919
K  0.3001  0.3001  0.3001
K  0.6999  0.6999  0.6999
K  0.9081  0.9081  0.9081
Rb  0.5000  0.5000  0.5000
Au  0.3968  0.3968  0.3968
Au  0.6032  0.6032  0.6032

Its distance to the lowest polymorph of the same formula is 11 meV per atom. The total magnetization comes out at 0.00 Bohr magnetons per cell. As for the crystal system: trigonal. For the total energy, the calculation gives -13.06 eV for the cell shown.

---

Question: Number 1 is which compound?
Answer: HgSBrN2